Run one
Entry from Alexandria: Sr3Cl5 after structural relaxation (PBE).

It has space group P6_3/mcm (No. 193), with a = 8.4984 Å, b = 8.4984 Å, c = 7.4500 Å, α = 90.00°, β = 90.00° and γ = 120.00°. The inequivalent atoms are Sr at (0.0000, 0.3891, 0.2500), Cl at (0.0000, 0.2665, 0.7500) and Cl at (0.3333, 0.6667, 0.0000).

Its crystal system is hexagonal.

***

Run two
Entry from Alexandria: Sr3Cl5 after structural relaxation (PBE).

It has space group Cmmm (No. 65), with a = 8.355 Å, b = 12.348 Å, c = 4.519 Å, α = 90.00°, β = 90.00° and γ = 90.00°. The inequivalent atoms are Sr at (0.000, 0.000, 0.000), Sr at (0.000, 0.338, 0.500), Cl at (0.000, 0.500, 0.000), Cl at (0.215, 0.000, 0.500) and Cl at (0.250, 0.250, 0.000).

Its crystal system is orthorhombic.

***

Energies relative to the minimum, meV/atom: run one 0; run two 51

***

Run one
Entry from Alexandria: SrCl5 after structural relaxation (PBE).

It has space group P-62m (No. 189), with a = 5.5633 Å, b = 5.5633 Å, c = 5.7551 Å, α = 90.00°, β = 90.00° and γ = 120.00°. The inequivalent atoms are Sr at (0.0000, 0.0000, 0.0000), Cl at (0.0000, 0.7146, 0.5000) and Cl at (0.3333, 0.6667, 0.0000).

Its crystal system is hexagonal.

***

Run two
Entry from Alexandria: SrCl5 after structural relaxation (PBE).

It has space group Cm (No. 8), with a = 7.835 Å, b = 4.508 Å, c = 12.942 Å, α = 90.00°, β = 105.37° and γ = 90.00°. The inequivalent atoms are Sr at (0.000, 0.000, 0.000), Cl at (0.120, 0.500, 0.892), Cl at (0.175, 0.000, 0.641), Cl at (0.282, 0.000, 0.336), Cl at (0.293, 0.000, 0.506) and Cl at (0.381, 0.000, 0.109).

Its crystal system is monoclinic.

***

Run three
Entry from Alexandria: SrCl5 after structural relaxation (PBE).

It has space group Pm (No. 6), with a = 4.471 Å, b = 5.618 Å, c = 8.156 Å, α = 90.00°, β = 103.40° and γ = 90.00°. The inequivalent atoms are Sr at (0.000, 0.000, 0.000), Cl at (0.403, 0.000, 0.778), Cl at (0.542, 0.500, 0.555), Cl at (0.627, 0.000, 0.268), Cl at (0.674, 0.500, 0.333) and Cl at (0.889, 0.500, 0.052).

Its crystal system is monoclinic.

***

Energies relative to the minimum, meV/atom: run one 349; run two 0; run three 18

***

Run one
Entry from Alexandria: SrCl5 after structural relaxation (PBE).

It has space group P4/mmm (No. 123), with a = 3.825 Å, b = 3.825 Å, c = 12.367 Å, α = 90.00°, β = 90.00° and γ = 90.00°. The inequivalent atoms are Sr at (0.000, 0.000, 0.000), Cl at (0.000, 0.000, 0.395), Cl at (0.500, 0.500, 0.127) and Cl at (0.500, 0.500, 0.500).

Its crystal system is tetragonal.

***

Run two
Entry from Alexandria: SrCl5 after structural relaxation (PBE).

It has space group Amm2 (No. 38), with a = 5.085 Å, b = 4.145 Å, c = 19.760 Å, α = 90.00°, β = 90.00° and γ = 90.00°. The inequivalent atoms are Sr at (0.000, 0.000, 0.000), Cl at (0.000, 0.000, 0.395), Cl at (0.000, 0.000, 0.605), Cl at (0.500, 0.000, 0.230), Cl at (0.500, 0.000, 0.499) and Cl at (0.500, 0.000, 0.769).

Its crystal system is orthorhombic.

***

Energies relative to the minimum, meV/atom: run one 291; run two 0

***

Run one
Entry from Alexandria: Sr4Cl after structural relaxation (PBE).

It has space group Pm-3m (No. 221), with a = 6.207 Å, b = 6.207 Å, c = 6.207 Å, α = 90.00°, β = 90.00° and γ = 90.00°. The inequivalent atoms are Sr at (0.000, 0.000, 0.000), Sr at (0.000, 0.500, 0.500) and Cl at (0.500, 0.500, 0.500).

Its crystal system is cubic.

***

Run two
Entry from Alexandria: Sr4Cl after structural relaxation (PBE).

It has space group I4/m (No. 87), with a = 10.588 Å, b = 10.588 Å, c = 4.056 Å, α = 90.00°, β = 90.00° and γ = 90.00°. The inequivalent atoms are Sr at (0.070, 0.265, 0.000) and Cl at (0.000, 0.000, 0.500).

Its crystal system is tetragonal.

***

Energies relative to the minimum, meV/atom: run one 0; run two 49

***

Run one
Entry from Alexandria: Sr4Cl5 after structural relaxation (PBE).

It has space group I4/mmm (No. 139), with a = 11.225 Å, b = 11.225 Å, c = 4.409 Å, α = 90.00°, β = 90.00° and γ = 90.00°. The inequivalent atoms are Sr at (0.000, 0.265, 0.000), Cl at (0.000, 0.000, 0.000) and Cl at (0.172, 0.172, 0.500).

Its crystal system is tetragonal.

***

Run two
Entry from Alexandria: Sr4Cl5 after structural relaxation (PBE).

It has space group P6_3/mcm (No. 193), with a = 8.5732 Å, b = 8.5732 Å, c = 8.6351 Å, α = 90.00°, β = 90.00° and γ = 120.00°. The inequivalent atoms are Sr at (0.0000, 0.0000, 0.0000), Sr at (0.0000, 0.4212, 0.2500), Cl at (0.0000, 0.2385, 0.7500) and Cl at (0.3333, 0.6667, 0.0000).

Its crystal system is hexagonal.

***

Energies relative to the minimum, meV/atom: run one 0; run two 158

***

Run one
Entry from Alexandria: SrTa3Cl after structural relaxation (PBE).

It has space group Pm-3m (No. 221), with a = 5.047 Å, b = 5.047 Å, c = 5.047 Å, α = 90.00°, β = 90.00° and γ = 90.00°. The inequivalent atoms are Sr at (0.000, 0.000, 0.000), Ta at (0.000, 0.000, 0.500) and Cl at (0.500, 0.500, 0.500).

Its crystal system is cubic.

***

Run two
Entry from Alexandria: SrTa3Cl after structural relaxation (PBE).

It has space group Pm-3m (No. 221), with a = 4.748 Å, b = 4.748 Å, c = 4.748 Å, α = 90.00°, β = 90.00° and γ = 90.00°. The inequivalent atoms are Sr at (0.000, 0.000, 0.000), Ta at (0.000, 0.500, 0.500) and Cl at (0.500, 0.500, 0.500).

Its crystal system is cubic.

***

Energies relative to the minimum, meV/atom: run one 2097; run two 0

***

Run one
Entry from Alexandria: SrTaCl2 after structural relaxation (PBE).

It has space group Pm (No. 6), with a = 3.358 Å, b = 3.358 Å, c = 9.211 Å, α = 90.00°, β = 90.09° and γ = 90.00°. The inequivalent atoms are Sr at (0.000, 0.000, 0.000), Ta at (0.501, 0.500, 0.292), Cl at (0.002, 0.000, 0.432) and Cl at (0.499, 0.500, 0.819).

Its crystal system is monoclinic.

***

Run two
Entry from Alexandria: SrTaCl2 after structural relaxation (PBE).

It has space group Fm-3m (No. 225), with a = 7.056 Å, b = 7.056 Å, c = 7.056 Å, α = 90.00°, β = 90.00° and γ = 90.00°. The inequivalent atoms are Sr at (0.000, 0.000, 0.000), Ta at (0.000, 0.000, 0.500) and Cl at (0.250, 0.250, 0.250).

Its crystal system is cubic.

***

Energies relative to the minimum, meV/atom: run one 0; run two 641

***

Run one
Entry from Alexandria: SrTaCl2 after structural relaxation (PBE).

It has space group I-42d (No. 122), with a = 5.137 Å, b = 5.137 Å, c = 16.340 Å, α = 90.00°, β = 90.00° and γ = 90.00°. The inequivalent atoms are Sr at (0.000, 0.000, 0.000), Ta at (0.000, 0.000, 0.500) and Cl at (0.175, 0.250, 0.625).

Its crystal system is tetragonal.

***

Run two
Entry from Alexandria: SrTaCl2 after structural relaxation (PBE).

It has space group R-3m (No. 166, hexagonal axes), with a = 3.3422 Å, b = 3.3422 Å, c = 28.3498 Å, α = 90.00°, β = 90.00° and γ = 120.00°. The inequivalent atoms are Sr at (0.0000, 0.0000, 0.0000), Ta at (0.0000, 0.0000, 0.5000) and Cl at (0.0000, 0.0000, 0.2300).

Its crystal system is trigonal.

***

Run three
Entry from Alexandria: SrTaCl2 after structural relaxation (PBE).

It has space group Pmmm (No. 47), with a = 3.322 Å, b = 4.320 Å, c = 6.125 Å, α = 90.00°, β = 90.00° and γ = 90.00°. The inequivalent atoms are Sr at (0.000, 0.000, 0.000), Ta at (0.500, 0.000, 0.500) and Cl at (0.500, 0.500, 0.266).

Its crystal system is orthorhombic.

***

Energies relative to the minimum, meV/atom: run one 246; run two 285; run three 0